# ReRuSe, optimized geometry, DFT GGA-PBE
data_ReRuSe
_chemical_formula_sum 'Re4 Ru4 Se4'
_cell_length_a 2.8390
_cell_length_b 4.8233
_cell_length_c 14.0950
_cell_angle_alpha 90.00
_cell_angle_beta 90.00
_cell_angle_gamma 90.00
_symmetry_space_group_name_H-M 'F m m 2'
_symmetry_Int_Tables_number 42
_symmetry_space_group_name_Hall 'F 2 -2'
loop_
_atom_site_label
_atom_site_fract_x
_atom_site_fract_y
_atom_site_fract_z
_atom_site_occupancy
Re1 0.0000 0.0000 0.0000 1
Ru1 0.0000 0.0000 0.3514 1
Se1 0.0000 0.0000 0.6802 1
# size of the total moment: 0.0 μB per formula unit
# uncorrected formation energy: 189.4 kJ/mol of formula units
# V: 16.08 Å³/atom
# ΔE to the lowest computed polymorph: 1.227 eV per formula unit
# electronic total energy: -23.246 eV per formula unit